w:
InIrSe3: relaxed, GGA-PBE. Values from VASP.

Structure (Quantum ESPRESSO input):
```
&SYSTEM
  ibrav = 0, nat = 30, ntyp = 3
/
ATOMIC_SPECIES
Se 78.96 Se.upf
Ir 192.22 Ir.upf
In 114.82 In.upf
ATOMIC_POSITIONS crystal
Se 0.3136 0.2949 0.6006
Se 0.3530 0.0384 0.7327
Ir 0.3333 0.6667 0.9922
Se 0.3521 0.9803 0.0661
Se 0.2949 0.9813 0.3994
Se 0.0384 0.6854 0.2673
Se 0.6864 0.7051 0.3994
Se 0.9803 0.6282 0.9339
Se 0.3146 0.3530 0.2673
Se 0.3718 0.3521 0.9339
Se 0.0197 0.3718 0.0661
In 0.6667 0.3333 0.8333
Se 0.6479 0.0197 0.9339
Se 0.6854 0.6470 0.7327
Ir 0.0000 0.0000 0.6745
In 0.0000 0.0000 0.5000
In 0.0000 0.0000 0.0000
Se 0.0187 0.3136 0.3994
Ir 0.0000 0.0000 0.3255
Ir 0.6667 0.3333 0.0078
In 0.3333 0.6667 0.1667
In 0.6667 0.3333 0.3333
Se 0.6282 0.6479 0.0661
Se 0.9616 0.3146 0.7327
Ir 0.3333 0.6667 0.3411
In 0.3333 0.6667 0.6667
Se 0.6470 0.9616 0.2673
Se 0.7051 0.0187 0.6006
Ir 0.6667 0.3333 0.6589
Se 0.9813 0.6864 0.6006
CELL_PARAMETERS angstrom
-4.2023 -5.0474 -1.1252
6.2496 -0.2937 -2.2929
5.9400 -8.8061 17.3183
```

Computed properties:
V in A^3/atom: 26.0
Total magnetic moment in μB/f.u.: 0.00
Symmetry: R-3, No. 148

x:
InIrSe3: relaxed, GGA-PBE. Values from VASP.

Structure (Quantum ESPRESSO input):
```
&SYSTEM
  ibrav = 0, nat = 30, ntyp = 3
/
ATOMIC_SPECIES
Se 78.96 Se.upf
In 114.82 In.upf
Ir 192.22 Ir.upf
ATOMIC_POSITIONS crystal
Se 0.3903 0.0481 0.4907
In 0.3333 0.6667 0.0952
Se 0.7237 0.7148 0.1573
Se 0.3244 0.9430 0.8240
Se 0.6518 0.0153 0.3129
Se 0.9911 0.2763 0.1573
Se 0.0570 0.3814 0.8240
Ir 0.6667 0.3333 0.5945
In 0.3333 0.6667 0.4036
Ir 0.3333 0.6667 0.9278
Se 0.3185 0.3486 0.6462
Se 0.3180 0.3032 0.9796
Se 0.2852 0.0089 0.1573
Ir 0.6667 0.3333 0.3942
Ir 0.0000 0.0000 0.0608
In 0.0000 0.0000 0.7369
Se 0.6186 0.6756 0.8240
In 0.6667 0.3333 0.7619
Se 0.6577 0.6097 0.4907
Se 0.3634 0.3482 0.3129
Ir 0.0000 0.0000 0.2611
In 0.0000 0.0000 0.4286
Se 0.9852 0.6819 0.9796
Ir 0.3333 0.6667 0.7275
Se 0.0301 0.6815 0.6462
In 0.6667 0.3333 0.0703
Se 0.6968 0.0148 0.9796
Se 0.9519 0.3423 0.4907
Se 0.6514 0.9699 0.6462
Se 0.9847 0.6366 0.3129
CELL_PARAMETERS angstrom
6.8366 0.0000 0.0000
-3.4183 5.9207 0.0000
0.0000 0.0000 16.6950
```

Computed properties:
V in A^3/atom: 22.5
Total magnetic moment in μB/f.u.: 0.00
Symmetry: R3, No. 146

Stability, lowest: x

w:
InIrSe3: relaxed, GGA-PBE. Values from VASP.

Structure (Quantum ESPRESSO input):
```
&SYSTEM
  ibrav = 0, nat = 20, ntyp = 3
/
ATOMIC_SPECIES
Se 78.96 Se.upf
Ir 192.22 Ir.upf
In 114.82 In.upf
ATOMIC_POSITIONS crystal
Se 0.7085 0.8850 0.1011
Ir 0.4779 0.9048 0.7177
Se 0.8652 0.0315 0.8840
Se 0.2085 0.1150 0.6011
Se 0.5831 0.1844 0.1584
Se 0.2085 0.6150 0.1011
Ir 0.9779 0.0952 0.2177
In 0.7749 0.1295 0.5420
Se 0.7085 0.3850 0.6011
Ir 0.9779 0.5952 0.7177
Se 0.3652 0.9685 0.3840
Se 0.5831 0.6844 0.6584
In 0.2749 0.8705 0.0420
In 0.2749 0.3705 0.5420
Se 0.0831 0.3156 0.1584
Se 0.0831 0.8156 0.6584
Se 0.8652 0.5315 0.3840
Ir 0.4779 0.4048 0.2177
Se 0.3652 0.4685 0.8840
In 0.7749 0.6295 0.0420
CELL_PARAMETERS angstrom
6.9347 0.0000 0.0010
0.0000 10.3619 0.0000
-5.4566 0.0000 6.5452
```

Computed properties:
V in A^3/atom: 23.5
Total magnetic moment in μB/f.u.: 0.00
Symmetry: Cc, No. 9

x:
InIrSe3: relaxed, GGA-PBE. Values from VASP.

Structure (Quantum ESPRESSO input):
```
&SYSTEM
  ibrav = 0, nat = 10, ntyp = 3
/
ATOMIC_SPECIES
In 114.82 In.upf
Se 78.96 Se.upf
Ir 192.22 Ir.upf
ATOMIC_POSITIONS crystal
In 0.8162 0.5168 0.2913
Se 0.9029 0.2831 0.7950
Se 0.4247 0.3803 0.5988
Se 0.1579 0.0842 0.2074
Se 0.6509 0.9729 0.3294
Ir 0.5474 0.1658 0.9612
Ir 0.2214 0.2227 0.4703
Se 0.7290 0.7862 0.8810
In 0.1709 0.7907 0.6950
Se 0.3413 0.5282 0.0898
CELL_PARAMETERS angstrom
6.5316 -0.0002 -0.0005
3.0463 5.9842 0.0000
2.7880 2.0254 5.9719
```

Computed properties:
V in A^3/atom: 23.3
Total magnetic moment in μB/f.u.: 0.00
Symmetry: P1, No. 1

y:
InIrSe3: relaxed, GGA-PBE. Values from VASP.

Structure (Quantum ESPRESSO input):
```
&SYSTEM
  ibrav = 0, nat = 20, ntyp = 3
/
ATOMIC_SPECIES
Se 78.96 Se.upf
Ir 192.22 Ir.upf
In 114.82 In.upf
ATOMIC_POSITIONS crystal
Se 0.7099 0.8750 0.6715
Ir 0.3281 0.2557 0.8410
Ir 0.3281 0.7557 0.3410
Se 0.4449 0.3733 0.5092
Ir 0.8281 0.7443 0.3410
Se 0.4449 0.8733 0.0092
Se 0.8618 0.2138 0.0807
Se 0.3618 0.7862 0.5807
Se 0.3618 0.2862 0.0807
In 0.2880 0.1986 0.5795
Se 0.2099 0.1250 0.1715
In 0.7880 0.3014 0.5795
Se 0.7099 0.3750 0.1715
Se 0.9449 0.1267 0.5092
Ir 0.8281 0.2443 0.8410
Se 0.2099 0.6250 0.6715
In 0.2880 0.6986 0.0795
In 0.7880 0.8014 0.0795
Se 0.9449 0.6267 0.0092
Se 0.8618 0.7138 0.5807
CELL_PARAMETERS angstrom
13.3133 0.0000 -0.0009
0.0000 6.1297 0.0000
-10.9239 0.0000 5.5618
```

Computed properties:
V in A^3/atom: 22.7
Total magnetic moment in μB/f.u.: 0.00
Symmetry: Cc, No. 9

Stability, lowest: x

w:
InIr2Se2: relaxed, GGA-PBE. Values from VASP.

Structure (Quantum ESPRESSO input):
```
&SYSTEM
  ibrav = 0, nat = 10, ntyp = 3
/
ATOMIC_SPECIES
Ir 192.22 Ir.upf
Se 78.96 Se.upf
In 114.82 In.upf
ATOMIC_POSITIONS crystal
Ir 0.3714 0.8714 0.0000
Se 0.1492 0.6492 0.5000
In 0.0000 0.0000 0.0000
Ir 0.1286 0.3714 0.0000
In 0.5000 0.5000 0.0000
Se 0.6492 0.8508 0.5000
Ir 0.6286 0.1286 0.0000
Ir 0.8714 0.6286 0.0000
Se 0.3508 0.1492 0.5000
Se 0.8508 0.3508 0.5000
CELL_PARAMETERS angstrom
-5.7871 4.7521 1.6864
-2.2176 -4.7040 5.6455
1.8396 1.5310 1.9983
```

Computed properties:
V in A^3/atom: 18.4
Total magnetic moment in μB/f.u.: 0.00
Symmetry: P4/mbm, No. 127

x:
InIr2Se2: relaxed, GGA-PBE. Values from VASP.

Structure (Quantum ESPRESSO input):
```
&SYSTEM
  ibrav = 0, nat = 5, ntyp = 3
/
ATOMIC_SPECIES
Se 78.96 Se.upf
In 114.82 In.upf
Ir 192.22 Ir.upf
ATOMIC_POSITIONS crystal
Se 0.2500 0.7500 0.5000
In 0.0000 0.0000 0.0000
Ir 0.6099 0.6099 0.7801
Ir 0.3901 0.3901 0.2199
Se 0.7500 0.2500 0.5000
CELL_PARAMETERS angstrom
-2.8255 -2.8946 -0.7966
2.6320 -1.8621 -2.5694
1.9021 -5.5196 2.6412
```

Computed properties:
V in A^3/atom: 19.4
Total magnetic moment in μB/f.u.: 0.00
Symmetry: I4/mmm, No. 139

Stability, lowest: w

w:
InIrSe: relaxed, GGA-PBE. Values from VASP.

Structure (Quantum ESPRESSO input):
```
&SYSTEM
  ibrav = 0, nat = 3, ntyp = 3
/
ATOMIC_SPECIES
Se 78.96 Se.upf
In 114.82 In.upf
Ir 192.22 Ir.upf
ATOMIC_POSITIONS crystal
Se 0.6667 0.3333 0.5964
In 0.0000 0.0000 0.0345
Ir 0.3333 0.6667 0.3691
CELL_PARAMETERS angstrom
3.6146 0.0000 0.0000
-1.8073 3.1304 0.0000
0.0000 0.0000 5.6489
```

Computed properties:
V in A^3/atom: 21.3
Total magnetic moment in μB/f.u.: 0.00
Symmetry: P3m1, No. 156

x:
InIrSe: relaxed, GGA-PBE. Values from VASP.

Structure (Quantum ESPRESSO input):
```
&SYSTEM
  ibrav = 0, nat = 6, ntyp = 3
/
ATOMIC_SPECIES
In 114.82 In.upf
Ir 192.22 Ir.upf
Se 78.96 Se.upf
ATOMIC_POSITIONS crystal
In 0.6522 0.5000 0.1026
In 0.7948 0.5000 0.5495
Ir 0.6628 0.0000 0.8009
Ir 0.2570 0.5000 0.7728
Se 0.2990 0.0000 0.5302
Se 0.0937 0.0000 0.9487
CELL_PARAMETERS angstrom
5.9635 0.0000 -0.0075
0.0000 3.6589 0.0000
-1.7999 0.0000 6.4721
```

Computed properties:
V in A^3/atom: 23.5
Total magnetic moment in μB/f.u.: 0.00
Symmetry: Pm, No. 6

Stability, lowest: w

w:
InIrSe: relaxed, GGA-PBE. Values from VASP.

Structure (Quantum ESPRESSO input):
```
&SYSTEM
  ibrav = 0, nat = 12, ntyp = 3
/
ATOMIC_SPECIES
Ir 192.22 Ir.upf
Se 78.96 Se.upf
In 114.82 In.upf
ATOMIC_POSITIONS crystal
Ir 0.0000 0.5000 0.0000
Ir 0.5000 0.0000 0.0000
Se 0.1958 0.0000 0.1054
Se 0.8042 0.0000 0.8946
In 0.6953 0.5000 0.1432
In 0.3047 0.5000 0.8568
Ir 0.5000 0.5000 0.5000
In 0.3047 0.0000 0.3568
Se 0.8042 0.5000 0.3946
Se 0.1958 0.5000 0.6054
In 0.6953 0.0000 0.6432
Ir 0.0000 0.0000 0.5000
CELL_PARAMETERS angstrom
6.6327 0.0000 -0.0124
0.0000 3.8395 0.0000
-1.6786 0.0000 10.9221
```

Computed properties:
V in A^3/atom: 23.2
Total magnetic moment in μB/f.u.: 0.00
Symmetry: C2/m, No. 12

x:
InIrSe: relaxed, GGA-PBE. Values from VASP.

Structure (Quantum ESPRESSO input):
```
&SYSTEM
  ibrav = 0, nat = 3, ntyp = 3
/
ATOMIC_SPECIES
In 114.82 In.upf
Se 78.96 Se.upf
Ir 192.22 Ir.upf
ATOMIC_POSITIONS crystal
In 0.0000 0.0000 0.9999
Se 0.3333 0.6667 0.5000
Ir 0.6667 0.3333 0.5000
CELL_PARAMETERS angstrom
-2.9398 3.2336 -1.1599
1.8296 -2.6395 -3.1828
-2.3607 -2.0293 0.3259
```

Computed properties:
V in A^3/atom: 18.5
Total magnetic moment in μB/f.u.: 0.00
Symmetry: P-6m2, No. 187

y:
InIrSe: relaxed, GGA-PBE. Values from VASP.

Structure (Quantum ESPRESSO input):
```
&SYSTEM
  ibrav = 0, nat = 3, ntyp = 3
/
ATOMIC_SPECIES
In 114.82 In.upf
Ir 192.22 Ir.upf
Se 78.96 Se.upf
ATOMIC_POSITIONS crystal
In 0.5000 0.5000 0.5000
Ir 0.7500 0.7500 0.7500
Se 0.0000 0.0000 0.0000
CELL_PARAMETERS angstrom
-0.9297 -3.1524 3.0077
-2.0222 -3.7617 -1.2682
2.2564 -3.8414 -0.0291
```

Computed properties:
V in A^3/atom: 20.8
Total magnetic moment in μB/f.u.: 0.00
Symmetry: F-43m, No. 216

z:
InIrSe: relaxed, GGA-PBE. Values from VASP.

Structure (Quantum ESPRESSO input):
```
&SYSTEM
  ibrav = 0, nat = 12, ntyp = 3
/
ATOMIC_SPECIES
In 114.82 In.upf
Se 78.96 Se.upf
Ir 192.22 Ir.upf
ATOMIC_POSITIONS crystal
In 0.7500 0.7500 0.7500
Se 0.5000 0.7500 0.3444
In 0.2500 0.2500 0.2500
Se 0.0000 0.7500 0.1556
Se 0.0000 0.2500 0.8444
In 0.7500 0.2500 0.2500
Ir 0.5000 0.0000 0.0000
Ir 0.0000 0.5000 0.5000
Ir 0.0000 0.0000 0.5000
Ir 0.5000 0.5000 0.0000
Se 0.5000 0.2500 0.6556
In 0.2500 0.7500 0.7500
CELL_PARAMETERS angstrom
-7.3268 1.8000 1.6919
0.8625 -1.5617 5.3963
1.6101 5.3424 1.2888
```

Computed properties:
V in A^3/atom: 21.0
Total magnetic moment in μB/f.u.: 0.00
Symmetry: Imma, No. 74

Stability, lowest: x

w:
InIrSe: relaxed, GGA-PBE. Values from VASP.

Structure (Quantum ESPRESSO input):
```
&SYSTEM
  ibrav = 0, nat = 6, ntyp = 3
/
ATOMIC_SPECIES
In 114.82 In.upf
Ir 192.22 Ir.upf
Se 78.96 Se.upf
ATOMIC_POSITIONS crystal
In 0.8893 0.1795 0.0797
Ir 0.6742 0.3927 0.8180
Se 0.4183 0.1479 0.5291
Ir 0.1447 0.9220 0.6183
In 0.9089 0.6581 0.7101
Se 0.3394 0.7260 0.1690
CELL_PARAMETERS angstrom
-0.3663 -2.6174 -1.4755
-0.1356 0.9237 -7.8249
5.8654 -2.1943 2.4606
```

Computed properties:
V in A^3/atom: 22.0
Total magnetic moment in μB/f.u.: 0.00
Symmetry: P1, No. 1

x:
InIrSe: relaxed, GGA-PBE. Values from VASP.

Structure (Quantum ESPRESSO input):
```
&SYSTEM
  ibrav = 0, nat = 3, ntyp = 3
/
ATOMIC_SPECIES
Se 78.96 Se.upf
Ir 192.22 Ir.upf
In 114.82 In.upf
ATOMIC_POSITIONS crystal
Se 0.7212 0.7212 0.2788
Ir 0.3028 0.3028 0.6972
In 0.9760 0.9760 0.0240
CELL_PARAMETERS angstrom
-4.4377 4.4957 2.6217
-6.1543 2.9638 0.3475
-1.5339 -1.6882 2.2939
```

Computed properties:
V in A^3/atom: 22.5
Total magnetic moment in μB/f.u.: 0.00
Symmetry: I4mm, No. 107

Stability, lowest: x

w:
InIrSe: relaxed, GGA-PBE. Values from VASP.

Structure (Quantum ESPRESSO input):
```
&SYSTEM
  ibrav = 0, nat = 12, ntyp = 3
/
ATOMIC_SPECIES
In 114.82 In.upf
Ir 192.22 Ir.upf
Se 78.96 Se.upf
ATOMIC_POSITIONS crystal
In 0.8114 0.0000 0.6708
In 0.8114 0.5000 0.1708
Ir 0.6751 0.0000 0.3168
Ir 0.6751 0.5000 0.8168
Se 0.7629 0.5000 0.4439
In 0.1886 0.5000 0.8292
Ir 0.3249 0.0000 0.6832
In 0.1886 0.0000 0.3292
Se 0.7629 0.0000 0.9439
Ir 0.3249 0.5000 0.1832
Se 0.2371 0.5000 0.5561
Se 0.2371 0.0000 0.0561
CELL_PARAMETERS angstrom
5.4421 0.0000 0.0083
0.0000 3.8653 0.0000
-3.4990 0.0000 11.8645
```

Computed properties:
V in A^3/atom: 20.8
Total magnetic moment in μB/f.u.: 0.00
Symmetry: C2/m, No. 12

x:
InIrSe: relaxed, GGA-PBE. Values from VASP.

Structure (Quantum ESPRESSO input):
```
&SYSTEM
  ibrav = 0, nat = 6, ntyp = 3
/
ATOMIC_SPECIES
Ir 192.22 Ir.upf
In 114.82 In.upf
Se 78.96 Se.upf
ATOMIC_POSITIONS crystal
Ir 0.0000 0.5000 0.0000
Ir 0.0000 0.0000 0.0000
In 0.4638 0.2500 0.7724
Se 0.0232 0.2500 0.3440
Se 0.9768 0.7500 0.6560
In 0.5362 0.7500 0.2276
CELL_PARAMETERS angstrom
-2.3606 -1.8184 -2.5877
-0.7458 -4.3511 3.7379
-4.0424 3.0232 2.7127
```

Computed properties:
V in A^3/atom: 21.6
Total magnetic moment in μB/f.u.: 0.00
Symmetry: P2_1/m, No. 11

y:
InIrSe: relaxed, GGA-PBE. Values from VASP.

Structure (Quantum ESPRESSO input):
```
&SYSTEM
  ibrav = 0, nat = 6, ntyp = 3
/
ATOMIC_SPECIES
Se 78.96 Se.upf
Ir 192.22 Ir.upf
In 114.82 In.upf
ATOMIC_POSITIONS crystal
Se 0.0039 0.3956 0.2201
Ir 0.5000 0.5000 0.0000
Ir 0.0000 0.0000 0.0000
Se 0.9961 0.6044 0.7799
In 0.4818 0.0845 0.7173
In 0.5182 0.9155 0.2827
CELL_PARAMETERS angstrom
-1.0587 1.6948 -3.2559
-4.9373 -0.8732 2.8463
1.9931 5.4699 2.9850
```

Computed properties:
V in A^3/atom: 22.7
Total magnetic moment in μB/f.u.: 0.00
Symmetry: P-1, No. 2

Stability, lowest: w

w:
In3SiIr: relaxed, GGA-PBE. Values from VASP.

Structure (Quantum ESPRESSO input):
```
&SYSTEM
  ibrav = 0, nat = 5, ntyp = 3
/
ATOMIC_SPECIES
In 114.82 In.upf
Ir 192.22 Ir.upf
Si 28.09 Si.upf
ATOMIC_POSITIONS crystal
In 0.0000 0.5000 0.0000
Ir 0.5000 0.5000 0.5000
Si 0.0000 0.0000 0.0000
In 0.5000 0.0000 0.0000
In 0.0000 0.0000 0.5000
CELL_PARAMETERS angstrom
5.0372 0.0000 0.0000
0.0000 5.0372 0.0000
0.0000 0.0000 5.0372
```

Computed properties:
V in A^3/atom: 25.6
Total magnetic moment in μB/f.u.: 0.00
Symmetry: Pm-3m, No. 221

x:
In3SiIr: relaxed, GGA-PBE. Values from VASP.

Structure (Quantum ESPRESSO input):
```
&SYSTEM
  ibrav = 0, nat = 5, ntyp = 3
/
ATOMIC_SPECIES
In 114.82 In.upf
Ir 192.22 Ir.upf
Si 28.09 Si.upf
ATOMIC_POSITIONS crystal
In 0.0000 0.5000 0.0000
In 0.0000 0.0000 0.5000
Ir 0.0000 0.0000 0.0000
Si 0.5000 0.5000 0.5000
In 0.5000 0.0000 0.0000
CELL_PARAMETERS angstrom
5.1432 0.0000 0.0000
0.0000 5.1432 0.0000
0.0000 0.0000 5.1432
```

Computed properties:
V in A^3/atom: 27.2
Total magnetic moment in μB/f.u.: 1.01
Symmetry: Pm-3m, No. 221

Stability, lowest: w